Th4TlBi3 PBE relaxed; SG = P2/c (13); energy relative to the elements = -0.429 eV per atom
1.0
7.9346 0.0000 0.0000
0.0000 9.1834 0.0000
-2.6606 0.0000 7.4953
Th Tl Bi
8 2 6
direct
0.2416 0.1201 0.9998
0.2416 0.8799 0.4998
0.2460 0.3702 0.4957
0.2460 0.6298 0.9957
0.7540 0.3702 0.0043
0.7540 0.6298 0.5043
0.7584 0.1201 0.5002
0.7584 0.8799 0.0002
0.0000 0.1266 0.2500
0.0000 0.8734 0.7500
0.0000 0.3754 0.7500
0.0000 0.6246 0.2500
0.5000 0.1257 0.7500
0.5000 0.3754 0.2500
0.5000 0.6246 0.7500
0.5000 0.8743 0.2500

***

Dy7Er2Mg PBE relaxed; SG = Cmmm (65); energy relative to the elements = 0.673 eV per atom
1.0
4.3306 -8.1002 0.0000
4.3306 8.1002 0.0000
0.0000 0.0000 5.3797
Dy Er Mg
7 2 1
direct
0.0000 0.0000 0.0000
0.2136 0.4307 0.0000
0.2948 0.7052 0.5000
0.4307 0.2136 0.0000
0.5693 0.7864 0.0000
0.7052 0.2948 0.5000
0.7864 0.5693 0.0000
0.2060 0.7940 0.0000
0.7940 0.2060 0.0000
0.5000 0.5000 0.5000

***

MgCo2Rh PBE relaxed; SG = C2/m (12); energy relative to the elements = 0.085 eV per atom
1.0
2.5169 -4.1630 0.0000
2.5169 4.1630 0.0000
-0.7937 0.0000 2.5355
Mg Co Rh
1 2 1
direct
0.0000 0.0000 0.0000
0.0000 0.5000 0.5000
0.5000 0.0000 0.5000
0.5000 0.5000 0.0000

***

NpInPd PBE relaxed; SG = I4mm (107); energy relative to the elements = -0.159 eV per atom
1.0
-1.5554 1.5554 6.4500
1.5554 -1.5554 6.4500
1.5554 1.5554 -6.4500
Np In Pd
1 1 1
direct
0.0000 0.0000 0.0000
0.3037 0.3037 0.0000
0.6633 0.6633 0.0000

***

TbIn2GaBr6 PBE relaxed; E_form (uncorrected) = -108.39 kJ/mol of atoms; SG = R3 (146)
1.0
4.0087 2.3144 6.8077
-4.0087 2.3144 6.8077
0.0000 -4.6288 6.8077
Tb In Ga Br
1 2 1 6
direct
0.0000 0.0000 0.0000
0.3000 0.3000 0.3000
0.7928 0.7928 0.7928
0.5080 0.5080 0.5080
0.1398 0.3304 0.7496
0.2116 0.8690 0.6585
0.3304 0.7496 0.1398
0.6585 0.2116 0.8690
0.7496 0.1398 0.3304
0.8690 0.6585 0.2116

***

NaLiGaBr3 PBE relaxed; E_form (uncorrected) = -114.37 kJ/mol of atoms; SG = P2_1/m (11)
1.0
8.8428 0.0000 0.0000
0.0000 4.3227 0.0000
-2.0154 0.0000 9.4388
Na Li Ga Br
2 2 2 6
direct
0.1573 0.2500 0.1519
0.8427 0.7500 0.8481
0.4144 0.7500 0.3976
0.5856 0.2500 0.6024
0.3077 0.7500 0.8138
0.6923 0.2500 0.1862
0.0768 0.2500 0.8374
0.3043 0.2500 0.4706
0.3899 0.7500 0.1317
0.6101 0.2500 0.8683
0.6957 0.7500 0.5294
0.9232 0.7500 0.1626

***

| no. | density of states at the Fermi level (states/eV/cell) |
| --- | --- |
| 1 | 11.48 |
| 2 | 12.05 |
| 3 | 4.05 |
| 4 | 5.53 |
| 5 | 0.00 |
| 6 | 0.00 |